RbNa2CuSb GGA-PBE relaxed; formation energy without anion corrections = -0.07 eV per atom; crystal system = tetragonal; V = 32.62 Å³/atom; ρ = 3.225 g/cm3
1.0
5.6815 0.0000 0.0000
0.0000 5.6815 0.0000
0.0000 0.0000 5.0527
Rb Na Cu Sb
1 2 1 1
direct
0.0000 0.0000 0.0000
0.0000 0.5000 0.5000
0.5000 0.0000 0.5000
0.5000 0.5000 0.5000
0.5000 0.5000 0.0000